Entry 1:
Entry from Alexandria via LeMat-Bulk: a relaxed structure of Ac2Tb3Pm8 (PBE).

Cell and atoms, written as POSCAR:
```
Ac2Tb3Pm8
1.0
6.701 -5.992 0.000
6.701 5.992 0.000
-2.533 0.000 5.787
Ac Tb Pm
2 3 8
direct
0.202 0.202 0.349
0.798 0.798 0.651
0.249 0.751 0.000
0.500 0.500 0.500
0.751 0.249 0.000
0.072 0.072 0.766
0.082 0.587 0.329
0.353 0.353 0.953
0.413 0.918 0.671
0.587 0.082 0.329
0.647 0.647 0.047
0.918 0.413 0.671
0.928 0.928 0.234
```

Results
ΔH_f (0 K), eV/atom: 0.187
Total DFT energy (no corrections), eV per atom: -4.437

***

Entry 2:
Entry from Alexandria via LeMat-Bulk: a relaxed structure of AcTb2Pm4 (PBE).

Cell and atoms, written as POSCAR:
```
AcTb2Pm4
1.0
6.368 0.000 0.000
-0.007 6.539 0.000
-0.925 -3.268 6.045
Ac Tb Pm
1 2 4
direct
0.000 0.000 0.000
0.266 0.542 0.083
0.734 0.458 0.917
0.000 0.000 0.500
0.000 0.500 0.500
0.492 0.837 0.674
0.508 0.163 0.326
```

Results
ΔH_f (0 K), eV/atom: 0.233
Total DFT energy (no corrections), eV per atom: -4.392

***

Entry 3:
Entry from Alexandria via LeMat-Bulk: a relaxed structure of AcTbPm3 (PBE).

Cell and atoms, written as POSCAR:
```
AcTbPm3
1.0
3.745 0.000 0.000
-0.017 8.791 0.000
-1.858 -3.021 10.984
Ac Tb Pm
2 2 6
direct
0.213 0.308 0.430
0.787 0.692 0.570
0.016 0.715 0.033
0.984 0.285 0.967
0.181 0.877 0.357
0.389 0.486 0.777
0.418 0.926 0.841
0.582 0.074 0.159
0.611 0.514 0.223
0.819 0.123 0.643
```

Results
ΔH_f (0 K), eV/atom: 0.046
Total DFT energy (no corrections), eV per atom: -4.552

***

Entry 4:
Entry from Alexandria via LeMat-Bulk: a relaxed structure of AcTb3Pm8 (PBE).

Cell and atoms, written as POSCAR:
```
AcTb3Pm8
1.0
8.082 -3.204 0.000
8.082 3.204 0.000
-7.606 0.000 8.082
Ac Tb Pm
1 3 8
direct
0.000 0.000 0.000
0.413 0.082 0.748
0.497 0.503 0.500
0.918 0.587 0.252
0.002 0.998 0.338
0.002 0.998 0.662
0.422 0.085 0.086
0.422 0.085 0.421
0.498 0.502 0.169
0.498 0.502 0.831
0.915 0.578 0.579
0.915 0.578 0.914
```

Results
ΔH_f (0 K), eV/atom: 0.036
Total DFT energy (no corrections), eV per atom: -4.631

***

Entry 5:
Entry from Alexandria via LeMat-Bulk: a relaxed structure of AcTb12Pm5 (PBE).

Cell and atoms, written as POSCAR:
```
AcTb12Pm5
1.0
5.776 -8.700 0.000
5.776 8.700 0.000
-0.040 0.000 6.017
Ac Tb Pm
1 12 5
direct
0.000 0.000 0.000
0.017 0.351 0.939
0.156 0.491 0.441
0.184 0.184 0.544
0.332 0.332 0.046
0.351 0.017 0.939
0.491 0.156 0.441
0.509 0.844 0.559
0.649 0.983 0.061
0.668 0.668 0.954
0.816 0.816 0.456
0.844 0.509 0.559
0.983 0.649 0.061
0.166 0.834 0.500
0.327 0.673 0.000
0.500 0.500 0.500
0.673 0.327 0.000
0.834 0.166 0.500
```

Results
ΔH_f (0 K), eV/atom: 0.102
Total DFT energy (no corrections), eV per atom: -4.532

***

Entry 6:
Entry from Alexandria via LeMat-Bulk: a relaxed structure of Ac2Tb2Pm5 (PBE).

Cell and atoms, written as POSCAR:
```
Ac2Tb2Pm5
1.0
-7.664 6.201 3.441
7.664 -6.201 3.441
7.664 6.201 -3.441
Ac Tb Pm
4 4 10
direct
0.003 0.125 0.127
0.003 0.375 0.378
0.997 0.625 0.622
0.997 0.875 0.873
0.464 0.219 0.746
0.473 0.719 0.254
0.534 0.034 0.500
0.534 0.534 0.000
0.108 0.403 0.809
0.108 0.799 0.205
0.384 0.896 0.988
0.447 0.319 0.416
0.447 0.531 0.628
0.594 0.299 0.191
0.594 0.903 0.795
0.902 0.031 0.584
0.902 0.819 0.372
0.908 0.396 0.012
```

Results
ΔH_f (0 K), eV/atom: 0.193
Total DFT energy (no corrections), eV per atom: -4.388